LiAg2, optimized geometry, DFT GGA-PBE; ρ = 7.4 Mg/m³; crystal system = hexagonal; DFT formation energy = -0.15 eV per atom
1.0
-2.7190 2.6740 -2.4788
1.1890 -4.1042 -1.5587
-4.4808 -2.2450 2.4931
Ag Li
4 2
Direct
0.0000 0.0000 0.0000
0.0000 0.0000 0.5000
0.3333 0.6667 0.2500
0.6667 0.3333 0.7500
0.6667 0.3333 0.2500
0.3333 0.6667 0.7500

ZnCd2TcPd, optimized geometry, DFT GGA-PBE; ρ = 7.6 Mg/m³; crystal system = tetragonal; DFT formation energy = 0.95 eV per atom
1.0
-1.8015 -4.1900 -1.5677
3.2045 -2.2950 2.4516
-2.9881 -0.1308 3.7833
Zn Tc Pd Cd
1 1 1 2
Direct
0.0000 0.0000 0.0000
0.5000 0.5000 0.5000
0.0000 0.5000 0.0000
0.0000 0.0000 0.5000
0.5000 0.0000 0.0000

Li2AuSe, optimized geometry, DFT GGA-PBE; ρ = 7.2 Mg/m³; crystal system = tetragonal
1.0
-1.0461 -4.2272 2.8500
3.7774 -1.5662 3.2194
-2.4069 4.4958 -1.0397
Au Li Se
1 2 1
Direct
0.2499 0.7499 0.5000
0.0004 0.0004 0.0000
0.7500 0.2500 0.5000
0.4997 0.4997 0.0000

B3Ir3Rh, optimized geometry, DFT GGA-PBE; ρ = 14.7 Mg/m³; crystal system = monoclinic; DFT formation energy = -0.11 eV per atom
1.0
-2.2908 1.6025 0.3215
-1.8722 -3.6314 4.7599
3.6169 3.5230 8.2105
B Ir Rh
6 6 2
Direct
0.2500 0.3198 0.6509
0.7500 0.6802 0.3491
0.2500 0.7460 0.7186
0.7500 0.2540 0.2814
0.2500 0.8608 0.1645
0.7500 0.1392 0.8355
0.2500 0.3761 0.4096
0.7500 0.6239 0.5904
0.2500 0.8525 0.9020
0.7500 0.1475 0.0980
0.2500 0.3891 0.8557
0.7500 0.6109 0.1443
0.2500 0.9460 0.3607
0.7500 0.0540 0.6393

SrAcCuIr, optimized geometry, DFT GGA-PBE; ρ = 9.4 Mg/m³; crystal system = cubic; DFT formation energy = -0.20 eV per atom
1.0
-1.0631 4.1567 -2.9903
-3.2577 3.7050 1.7351
1.8573 4.7093 1.3127
Sr Ac Ir Cu
1 1 1 1
Direct
0.5000 0.5000 0.5000
0.0000 0.0000 0.0000
0.7500 0.7500 0.7500
0.2500 0.2500 0.2500

Pr4Si2O, optimized geometry, DFT GGA-PBE; ρ = 5.8 Mg/m³; crystal system = tetragonal
1.0
4.7338 0.0000 0.0000
0.0000 4.7338 0.0000
-2.3669 -2.3669 8.1172
Pr Si O
4 2 1
Direct
0.8214 0.8214 0.6427
0.1786 0.1786 0.3573
0.0000 0.5000 0.0000
0.5000 0.0000 0.0000
0.6357 0.6357 0.2714
0.3643 0.3643 0.7286
0.0000 0.0000 0.0000

Pr12YTm6, optimized geometry, DFT GGA-PBE; ρ = 6.9 Mg/m³; crystal system = trigonal; DFT formation energy = 0.24 eV per atom
1.0
-3.1795 3.5173 7.9959
-3.1552 -8.7295 -0.5059
9.2422 -0.5570 0.8288
Pr Y Tm
12 1 6
Direct
0.4836 0.1935 0.5805
0.1935 0.5805 0.4836
0.5805 0.4836 0.1935
0.5164 0.8065 0.4195
0.8065 0.4195 0.5164
0.4195 0.5164 0.8065
0.2790 0.1328 0.8278
0.1722 0.7210 0.8672
0.8672 0.1722 0.7210
0.7210 0.8672 0.1722
0.8278 0.2790 0.1328
0.1328 0.8278 0.2790
0.0000 0.0000 0.0000
0.0756 0.1888 0.4562
0.8112 0.5438 0.9244
0.5438 0.9244 0.8112
0.9244 0.8112 0.5438
0.1888 0.4562 0.0756
0.4562 0.0756 0.1888

Pm2GeSbPt6, optimized geometry, DFT GGA-PBE; ρ = 13.0 Mg/m³; crystal system = orthorhombic
1.0
5.5743 0.0000 0.0000
0.0000 8.8425 0.0000
0.0000 0.0000 8.6051
Pm Ge Sb Pt
4 2 2 12
Direct
0.5000 0.7370 0.2408
0.0000 0.2630 0.7408
0.5000 0.7370 0.7592
0.0000 0.2630 0.2592
0.5000 0.2527 0.5000
0.0000 0.7473 0.0000
0.0000 0.7253 0.5000
0.5000 0.2747 0.0000
0.5000 0.1058 0.2503
0.5000 0.1058 0.7497
0.0000 0.8942 0.2497
0.0000 0.8942 0.7503
0.2479 0.0061 0.5000
0.7521 0.0061 0.5000
0.2532 0.4796 0.5000
0.7468 0.4796 0.5000
0.7532 0.5204 0.0000
0.2468 0.5204 0.0000
0.2521 0.9939 0.0000
0.7479 0.9939 0.0000

BaCu3, optimized geometry, DFT GGA-PBE; ρ = 5.8 Mg/m³; crystal system = hexagonal; DFT formation energy = 0.41 eV per atom
1.0
-2.2436 -2.4054 2.1701
3.9048 0.0610 0.5268
-0.7289 5.0294 4.8210
Ba Cu
1 3
Direct
0.0000 0.0000 0.0000
0.0000 0.0000 0.5000
0.6667 0.3333 0.3319
0.6667 0.3333 0.6681

CsTl3Au, optimized geometry, DFT GGA-PBE; ρ = 5.2 Mg/m³; crystal system = cubic; DFT formation energy = 1.00 eV per atom
1.0
6.7027 0.0000 0.0000
0.0000 6.7027 0.0000
0.0000 0.0000 6.7027
Cs Tl Au
1 3 1
Direct
0.0000 0.0000 0.0000
0.0000 0.5000 0.0000
0.0000 0.0000 0.5000
0.5000 0.0000 0.0000
0.5000 0.5000 0.5000

Sc2AlGeS, optimized geometry, DFT GGA-PBE; ρ = 3.1 Mg/m³; crystal system = tetragonal
1.0
-3.6149 3.3073 1.5711
-3.1944 -2.6884 -1.6908
-0.3038 -2.4710 4.5028
Sc Ge S Al
2 1 1 1
Direct
0.0000 0.0000 0.5000
0.5000 0.0000 0.0000
0.0000 0.0000 0.0000
0.5000 0.5000 0.5000
0.0000 0.5000 0.0000

Na2CrAgSb, optimized geometry, DFT GGA-PBE; ρ = 3.1 Mg/m³; crystal system = tetragonal
1.0
-1.2158 5.2104 -2.3590
-3.9075 -2.0889 -2.5999
-3.5961 1.1789 4.4574
Sb Na Ag Cr
1 2 1 1
Direct
0.0000 0.0000 0.0000
0.0000 0.0000 0.5000
0.5000 0.0000 0.0000
0.5000 0.5000 0.5000
0.0000 0.5000 0.0000

no.,VASP energy (eV per atom)
1,-2.69
2,-2.79
3,-3.25
4,-7.82
5,-4.88
6,-6.10
7,-4.53
8,-6.27
9,-3.15
10,-1.25
11,-5.04
12,-3.42